Record 1
SrCaOs2 | GGA-PBE | optimized geometry

Lattice parameters (Å, degrees): 4.1881 4.1881 4.6965 90.00 90.00 90.00
Space group P4/mmm (No. 123)
Inequivalent atoms, fractional coordinates:
Sr (0.0000, 0.0000, 0.0000)
Ca (0.5000, 0.5000, 0.0000)
Os (0.0000, 0.5000, 0.5000)

Summary:
DFT formation energy ... 0.99 eV per atom
Raw total energy ... -0.2039 hartree per atom

Record 2
LaUTc4 | GGA-PBE | optimized geometry

Lattice parameters (Å, degrees): 7.6518 7.6518 7.6518 90.00 90.00 90.00
Space group F-43m (No. 216)
Inequivalent atoms, fractional coordinates:
La (0.0000, 0.0000, 0.0000)
U (0.2500, 0.2500, 0.2500)
Tc (0.1250, 0.1250, 0.6250)

Summary:
DFT formation energy ... 0.14 eV per atom
Raw total energy ... -0.3482 hartree per atom

Record 3
ErIn2SbO8 | GGA-PBE | optimized geometry

Lattice parameters (Å, degrees): 4.9199 6.7860 4.9262 90.00 90.24 90.00
Space group P2/m (No. 10)
Inequivalent atoms, fractional coordinates:
Er (0.0000, 0.0000, 0.0000)
In (0.5000, 0.2564, 0.5000)
Sb (0.0000, 0.5000, 0.0000)
O (0.1868, 0.2752, 0.8117)
O (0.2909, 0.5000, 0.2892)
O (0.3155, 0.0000, 0.3129)

Summary:
Raw total energy ... -0.2250 hartree per atom
Formation energy without anion corrections ... -1.6381 eV/atom

Number 1: magnetization 1.82 μB/cell. Number 2: magnetization 4.12 μB/cell. Number 3: magnetization 2.04 μB/cell.